(1)
DFT (PBE-GGA) results for ZrFePtPb after structural relaxation.

Properties
total magnetization: 1.94 μB per formula unit
distance to the lowest polymorph of the same formula: 0.0 kJ per mole of atoms
E: -6.837 eV per atom

a = 4.6955 Å, b = 4.6955 Å, c = 4.6955 Å
α = 60.00°, β = 60.00°, γ = 60.00°
Last column: nearest neighbours and their distance in Å.
Sites, in units of the cell vectors:
Zr (0.0000, 0.0000, 0.0000)  4 Fe 2.88, 4 Pt 2.88
Fe (0.7500, 0.7500, 0.7500)  4 Pb 2.88, 4 Zr 2.88
Pt (0.2500, 0.2500, 0.2500)  4 Zr 2.88, 4 Pb 2.88
Pb (0.5000, 0.5000, 0.5000)  4 Fe 2.88, 4 Pt 2.88


(2)
DFT (PBE-GGA) results for RbFePb after structural relaxation.

Properties
total magnetization: 2.46 μB per formula unit
distance to the lowest polymorph of the same formula: 0.0 kJ per mole of atoms
E: -3.395 eV per atom

a = 5.1686 Å, b = 5.1686 Å, c = 5.1686 Å
α = 60.00°, β = 60.00°, γ = 60.00°
Last column: nearest neighbours and their distance in Å.
Sites, in units of the cell vectors:
Rb (0.0000, 0.0000, 0.0000)  4 Fe 3.17
Fe (0.7500, 0.7500, 0.7500)  4 Pb 3.17, 4 Rb 3.17
Pb (0.5000, 0.5000, 0.5000)  4 Fe 3.17


(3)
DFT (PBE-GGA) results for RbFe3Pb5 after structural relaxation.

Properties
total magnetization: 7.16 μB per formula unit
E: -4.799 eV per atom

a = 5.4928 Å, b = 5.4928 Å, c = 9.2441 Å
α = 90.00°, β = 90.00°, γ = 120.00°
Last column: nearest neighbours and their distance in Å.
Sites, in units of the cell vectors:
Rb (0.0000, 0.0000, 0.0000)  12 Pb 3.87
Fe (0.0000, 0.5000, 0.5000)  4 Fe 2.75, 6 Pb 2.75-2.87
Fe (0.5000, 0.0000, 0.5000)  4 Fe 2.75, 6 Pb 2.75-2.87
Fe (0.5000, 0.5000, 0.5000)  4 Fe 2.75, 6 Pb 2.75-2.87
Pb (0.0000, 0.0000, 0.5000)  6 Fe 2.75
Pb (0.3333, 0.6667, 0.2407)  3 Fe 2.87, 3 Pb 3.17
Pb (0.3333, 0.6667, 0.7593)  3 Fe 2.87, 3 Pb 3.17
Pb (0.6667, 0.3333, 0.2407)  3 Fe 2.87, 3 Pb 3.17
Pb (0.6667, 0.3333, 0.7593)  3 Fe 2.87, 3 Pb 3.17


(4)
DFT (PBE-GGA) results for RbFePb after structural relaxation.

Properties
total magnetization: 2.82 μB per formula unit
distance to the lowest polymorph of the same formula: 51.0 kJ per mole of atoms
E: -2.867 eV per atom

a = 5.5433 Å, b = 5.5433 Å, c = 5.5433 Å
α = 60.00°, β = 60.00°, γ = 60.00°
Last column: nearest neighbours and their distance in Å.
Sites, in units of the cell vectors:
Rb (0.0000, 0.0000, 0.0000)  4 Fe 3.39, 4 Pb 3.39
Fe (0.7500, 0.7500, 0.7500)  4 Rb 3.39
Pb (0.2500, 0.2500, 0.2500)  4 Rb 3.39


(5)
DFT (PBE-GGA) results for RbFePbSe3 after structural relaxation.

Properties
total magnetization: 4.97 μB per formula unit
E: -4.480 eV per atom

a = 7.9636 Å, b = 7.9636 Å, c = 11.8698 Å
α = 90.00°, β = 90.00°, γ = 149.09°
Last column: nearest neighbours and their distance in Å.
Sites, in units of the cell vectors:
Rb (0.2350, 0.7650, 0.7500)  6 Se 3.57-3.59, 2 Fe 3.98
Rb (0.7650, 0.2350, 0.2500)  6 Se 3.57-3.59, 2 Fe 3.98
Fe (0.0460, 0.9540, 0.2500)  4 Se 2.36-2.55
Fe (0.9540, 0.0460, 0.7500)  4 Se 2.36-2.55
Pb (0.5000, 0.5000, 0.0000)  6 Se 3.05-3.07
Pb (0.5000, 0.5000, 0.5000)  6 Se 3.05-3.07
Se (0.1291, 0.8709, 0.0831)  1 Fe 2.36
Se (0.1291, 0.8709, 0.4169)  1 Fe 2.36
Se (0.4533, 0.5467, 0.2500)  2 Fe 2.55
Se (0.5467, 0.4533, 0.7500)  2 Fe 2.55
Se (0.8709, 0.1291, 0.5831)  1 Fe 2.36
Se (0.8709, 0.1291, 0.9169)  1 Fe 2.36


(6)
DFT (PBE-GGA) results for Fe2Re2Pb3 after structural relaxation.

Properties
total magnetization: 6.66 μB per formula unit
E: -6.223 eV per atom

a = 8.1475 Å, b = 8.1475 Å, c = 8.1475 Å
α = 32.75°, β = 32.75°, γ = 32.75°
Last column: nearest neighbours and their distance in Å.
Sites, in units of the cell vectors:
Fe (0.0000, 0.0000, 0.0000)  7 Pb 2.84-3.13
Fe (0.4988, 0.4988, 0.4988)  5 Pb 2.68-2.88
Re (0.2562, 0.2562, 0.2562)  7 Pb 2.76-2.98
Re (0.7461, 0.7461, 0.7461)  5 Pb 2.73-2.84
Pb (0.3830, 0.3830, 0.3830)  4 Fe 2.68-2.89, 4 Re 2.74-2.93
Pb (0.6233, 0.6233, 0.6233)  4 Re 2.76-2.84, 4 Fe 2.84-2.88
Pb (0.8644, 0.8644, 0.8644)  4 Re 2.73-2.98, 3 Fe 2.75


(7)
DFT (PBE-GGA) results for TaFeRePb after structural relaxation.

Properties
total magnetization: 0.02 μB per formula unit
distance to the lowest polymorph of the same formula: 0.0 kJ per mole of atoms
E: -8.632 eV per atom

a = 4.5268 Å, b = 4.5268 Å, c = 4.5268 Å
α = 60.00°, β = 60.00°, γ = 60.00°
Last column: nearest neighbours and their distance in Å.
Sites, in units of the cell vectors:
Ta (0.0000, 0.0000, 0.0000)  4 Fe 2.77, 4 Re 2.77
Fe (0.7500, 0.7500, 0.7500)  4 Pb 2.77, 4 Ta 2.77
Re (0.2500, 0.2500, 0.2500)  4 Pb 2.77, 4 Ta 2.77
Pb (0.5000, 0.5000, 0.5000)  4 Re 2.77, 4 Fe 2.77


(8)
DFT (PBE-GGA) results for FeReTcPb after structural relaxation.

Properties
total magnetization: 2.68 μB per formula unit
distance to the lowest polymorph of the same formula: 0.0 kJ per mole of atoms
E: -8.004 eV per atom

a = 4.4830 Å, b = 4.4830 Å, c = 4.4830 Å
α = 60.00°, β = 60.00°, γ = 60.00°
Last column: nearest neighbours and their distance in Å.
Sites, in units of the cell vectors:
Fe (0.0000, 0.0000, 0.0000)  4 Pb 2.75, 4 Re 2.75
Re (0.2500, 0.2500, 0.2500)  4 Fe 2.75, 4 Tc 2.75
Tc (0.5000, 0.5000, 0.5000)  4 Pb 2.75, 4 Re 2.75
Pb (0.7500, 0.7500, 0.7500)  4 Fe 2.75, 4 Tc 2.75


Look up the E of the first one. -6.837 eV per atom


Copy entry 7 word for word.
DFT (PBE-GGA) results for TaFeRePb after structural relaxation.

Properties
total magnetization: 0.02 μB per formula unit
distance to the lowest polymorph of the same formula: 0.0 kJ per mole of atoms
E: -8.632 eV per atom

a = 4.5268 Å, b = 4.5268 Å, c = 4.5268 Å
α = 60.00°, β = 60.00°, γ = 60.00°
Last column: nearest neighbours and their distance in Å.
Sites, in units of the cell vectors:
Ta (0.0000, 0.0000, 0.0000)  4 Fe 2.77, 4 Re 2.77
Fe (0.7500, 0.7500, 0.7500)  4 Pb 2.77, 4 Ta 2.77
Re (0.2500, 0.2500, 0.2500)  4 Pb 2.77, 4 Ta 2.77
Pb (0.5000, 0.5000, 0.5000)  4 Re 2.77, 4 Fe 2.77